VASP calculation (PBE) on an optimized crystal structure of PuPa2Cu.

Output
Magnetic moment in μB/f.u.: 5.39
Polymorph energy (0 for the lowest one) in meV per atom: 305
Fermi-level density of states in states/eV/f.u.: 9.82
Space-group type: No. 166
ΔE_f in eV/atom: 0.328

a = 10.767 Å, b = 10.767 Å, c = 10.767 Å
α = 16.66°, β = 16.66°, γ = 16.66°
Element x y z (fractional)
Pu 0.000 0.000 0.000
Pa 0.092 0.092 0.092
Pa 0.908 0.908 0.908
Cu 0.500 0.500 0.500